DFT (PBE+U) results for a relaxed YZrCr2F crystal.

a b c (Å): 5.5284 5.5284 5.3408
angles (deg): 90.00 90.00 90.00
Space group P4/mmm (No. 123)
Unique sites:
Y 0.0000 0.0000 0.0000
Zr 0.0000 0.0000 0.5000
Cr 0.0000 0.5000 0.0000
F 0.5000 0.5000 0.5000

VASP energy: -0.3683 Ry/atom
calculated volume: 32.6 A^3/atom